Entry 1:
# Y2TlVCl

An optimized crystal structure of Y2TlVCl (PBE, the Alexandria database).

The structure belongs to space group P4/mmm (No. 123); the cell edges are 5.550, 5.550 and 4.344 Å and the angles 90.00°, 90.00° and 90.00°. The asymmetric unit holds Y at (0.000, 0.500, 0.000), Tl at (0.000, 0.000, 0.500), V at (0.500, 0.500, 0.000) and Cl at (0.500, 0.500, 0.500).

The density comes out at 5.8 g cm⁻³. The calculation puts the total moment at 0.0 μB per formula unit. The calculation puts the energy above the most stable polymorph in this dataset at 0 meV per atom. The raw formation energy is 167 meV/atom.

=====

Entry 2:
# La3Pm6Mg2

An optimized crystal structure of La3Pm6Mg2 (PBE, the Alexandria database).

The structure belongs to space group P-1 (No. 2); the cell edges are 6.250, 6.799 and 9.729 Å and the angles 88.51°, 85.96° and 64.13°. The asymmetric unit holds La at (0.000, 0.000, 0.000), La at (0.152, 0.811, 0.632), Pm at (0.273, 0.638, 0.261), Pm at (0.282, 0.271, 0.547), Pm at (0.428, 0.096, 0.178) and Mg at (0.202, 0.437, 0.895).

The density comes out at 6.0 g cm⁻³. The calculation puts the total moment at 0.0 μB per formula unit. As for the formation energy: 49 meV/atom.

=====

Entry 3:
# Dy5PuRh6

An optimized crystal structure of Dy5PuRh6 (PBE, the Alexandria database).

The structure belongs to space group Cmmm (No. 65); the cell edges are 4.804, 14.443 and 6.968 Å and the angles 90.00°, 90.00° and 90.00°. The asymmetric unit holds Dy at (0.000, 0.000, 0.000), Dy at (0.000, 0.333, 0.000), Dy at (0.000, 0.333, 0.500), Pu at (0.000, 0.000, 0.500), Rh at (0.000, 0.166, 0.250) and Rh at (0.000, 0.500, 0.251).

The density comes out at 11.5 g cm⁻³. The calculation puts the total moment at 4.8 μB per formula unit. As for the formation energy: -784 meV/atom.

=====

Entry 4:
# SbTeRh2

An optimized crystal structure of SbTeRh2 (PBE, the Alexandria database).

The structure belongs to space group Fm-3m (No. 225); the cell edges are 6.667, 6.667 and 6.667 Å and the angles 90.00°, 90.00° and 90.00°. The asymmetric unit holds Sb at (0.000, 0.000, 0.000), Te at (0.000, 0.000, 0.500) and Rh at (0.250, 0.250, 0.250).

The density comes out at 10.2 g cm⁻³. The calculation puts the total moment at 0.0 μB per formula unit. The raw formation energy is -64 meV/atom.

=====

Entry 5:
# Sm3Y2Se6

An optimized crystal structure of Sm3Y2Se6 (PBE, the Alexandria database).

The structure belongs to space group R-3m (No. 166, hexagonal axes); the cell edges are 4.1598, 4.1598 and 61.2306 Å and the angles 90.00°, 90.00° and 120.00°. The asymmetric unit holds Sm at (0.0000, 0.0000, 0.0000), Sm at (0.0000, 0.0000, 0.2784), Y at (0.0000, 0.0000, 0.4478), Se at (0.0000, 0.0000, 0.0842), Se at (0.0000, 0.0000, 0.1963) and Se at (0.0000, 0.0000, 0.3612).

The density comes out at 6.0 g cm⁻³. The calculation puts the total moment at 0.0 μB per formula unit. The calculation puts the energy above the most stable polymorph in this dataset at 66 meV per atom. The raw formation energy is -1814 meV/atom.

=====

Entry 6:
# ScBOsRu2

An optimized crystal structure of ScBOsRu2 (PBE, the Alexandria database).

The structure belongs to space group P4/mmm (No. 123); the cell edges are 4.138, 4.138 and 4.129 Å and the angles 90.00°, 90.00° and 90.00°. The asymmetric unit holds Sc at (0.000, 0.000, 0.000), B at (0.500, 0.500, 0.500), Os at (0.500, 0.500, 0.000) and Ru at (0.000, 0.500, 0.500).

The density comes out at 10.5 g cm⁻³. The calculation puts the total moment at 0.0 μB per formula unit. As for the formation energy: -262 meV/atom.

=====

Entry 7:
# Ba2ZrO3F2

An optimized crystal structure of Ba2ZrO3F2 (PBE, the Alexandria database).

The structure belongs to space group Imm2 (No. 44); the cell edges are 4.113, 4.123 and 16.903 Å and the angles 90.00°, 90.00° and 90.00°. The asymmetric unit holds Ba at (0.000, 0.000, 0.000), Ba at (0.000, 0.000, 0.281), Zr at (0.000, 0.000, 0.646), O at (0.000, 0.000, 0.528), O at (0.000, 0.500, 0.170), O at (0.000, 0.500, 0.665), F at (0.000, 0.000, 0.787) and F at (0.000, 0.500, 0.899).

The density comes out at 5.2 g cm⁻³. The calculation puts the total moment at 0.0 μB per formula unit. The raw formation energy is -3330 meV/atom.

=====

Entry 8:
# RbLi2Hf3O8

An optimized crystal structure of RbLi2Hf3O8 (PBE, the Alexandria database).

The structure belongs to space group R3m (No. 160, hexagonal axes); the cell edges are 6.4509, 6.4509 and 19.9613 Å and the angles 90.00°, 90.00° and 120.00°. The asymmetric unit holds Rb at (0.0000, 0.0000, 0.0000), Li at (0.0000, 0.0000, 0.3084), Li at (0.0000, 0.0000, 0.8023), Hf at (0.1686, 0.3373, 0.1894), O at (0.0000, 0.0000, 0.1372), O at (0.0000, 0.0000, 0.5757), O at (0.0110, 0.5055, 0.1411) and O at (0.1944, 0.3888, 0.9166).

The density comes out at 5.3 g cm⁻³. The calculation puts the total moment at 1.0 μB per formula unit. The raw formation energy is -2729 meV/atom.